Record 1
ThTiAg PBE-GGA optimized geometry; symmetry = P-6m2; energy of formation = 0.234 eV per atom; energy above the lowest structure with this stoichiometry = 4.22 kcal/mol of atoms; density of states at the Fermi level = 1.537 states/eV/atom
1.0
-1.0520 2.5712 -2.8290
-4.4059 -1.2272 0.5230
1.7384 3.4563 2.4948
Ag Th Ti
1 1 1
Direct
0.1666 0.0000 0.0000
0.6667 0.6667 0.3333
0.1668 0.3333 0.6667

Record 2
ThTiAg2 PBE-GGA optimized geometry; symmetry = P4/mmm; energy of formation = 0.075 eV per atom; density of states at the Fermi level = 0.950 states/eV/atom
1.0
-1.7747 -1.6430 -2.3445
2.6233 -2.0378 -0.5577
-2.5906 -4.7902 5.3177
Ag Th Ti
2 1 1
Direct
0.0000 0.0000 0.7984
0.0000 0.0000 0.2016
0.5000 0.5000 0.5000
0.5000 0.5000 0.0000

Record 3
Th5Tl4Ag PBE-GGA optimized geometry; symmetry = P4/mmm; energy of formation = -0.116 eV per atom; density of states at the Fermi level = 1.403 states/eV/atom
1.0
3.5311 0.0000 0.0000
0.0000 3.5311 0.0000
0.0000 0.0000 22.8719
Th Tl Ag
5 4 1
Direct
0.5000 0.5000 0.0923
0.5000 0.5000 0.2965
0.5000 0.5000 0.5000
0.5000 0.5000 0.7035
0.5000 0.5000 0.9077
0.0000 0.0000 0.1950
0.0000 0.0000 0.3982
0.0000 0.0000 0.6018
0.0000 0.0000 0.8050
0.0000 0.0000 0.0000

Record 4
Th2TlAg2 PBE-GGA optimized geometry; symmetry = Cmmm; energy of formation = -0.149 eV per atom; density of states at the Fermi level = 0.865 states/eV/atom
1.0
-0.6515 0.5411 -3.3005
-3.8875 -2.9035 0.2914
-2.4531 7.5269 1.7182
Th Tl Ag
2 1 2
Direct
0.5000 0.3801 0.7597
0.5000 0.6199 0.2403
0.0000 0.0000 0.0000
0.0000 0.7989 0.5977
0.0000 0.2011 0.4023

Record 5
ThTlAg PBE-GGA optimized geometry; symmetry = I4mm; energy of formation = 0.528 eV per atom; density of states at the Fermi level = 0.736 states/eV/atom
1.0
3.2404 0.0000 0.0000
0.0000 3.2404 0.0000
-1.6202 -1.6202 8.4155
Tl Ag Th
1 1 1
Direct
0.1391 0.1391 0.2783
0.7657 0.7657 0.5313
0.9452 0.9452 0.8904

Record 6
Th3Tl2Ag PBE-GGA optimized geometry; symmetry = P4/mmm; energy of formation = -0.103 eV per atom; density of states at the Fermi level = 1.260 states/eV/atom
1.0
3.5208 0.0000 0.0000
0.0000 3.5208 0.0000
0.0000 0.0000 13.5800
Th Tl Ag
3 2 1
Direct
0.0000 0.0000 0.0000
0.0000 0.0000 0.6558
0.0000 0.0000 0.3442
0.5000 0.5000 0.8290
0.5000 0.5000 0.1710
0.5000 0.5000 0.5000

Record 7
ThTlAg PBE-GGA optimized geometry; symmetry = P2_1/m; energy of formation = -0.073 eV per atom; density of states at the Fermi level = 0.621 states/eV/atom
1.0
4.7911 0.0000 -0.3156
0.0000 4.8808 0.0000
-1.9767 0.0000 6.7725
Th Tl Ag
2 2 2
Direct
0.3995 0.2500 0.7967
0.6005 0.7500 0.2033
0.0955 0.2500 0.1908
0.9045 0.7500 0.8092
0.7509 0.2500 0.5031
0.2491 0.7500 0.4969

Record 8
Th2TlAg3 PBE-GGA optimized geometry; symmetry = Fmmm; energy of formation = -0.149 eV per atom; energy above the lowest structure with this stoichiometry = 0.00 kcal/mol of atoms; density of states at the Fermi level = 0.547 states/eV/atom
1.0
-2.2825 4.5865 -3.1614
-2.3865 -1.7444 -5.2442
-5.3395 -2.5696 8.0770
Th Tl Ag
4 2 6
Direct
0.7500 0.2500 0.5000
0.7567 0.2433 0.0000
0.2500 0.7500 0.5000
0.2433 0.7567 0.0000
0.6662 0.6662 0.3324
0.3338 0.3338 0.6676
0.8354 0.8354 0.1643
0.6711 0.6711 0.8357
0.1646 0.1646 0.8357
0.3289 0.3289 0.1643
0.1646 0.1646 0.3292
0.8354 0.8354 0.6708

Record 9
ThTlAg3 PBE-GGA optimized geometry; symmetry = Cmmm; energy of formation = 0.075 eV per atom; density of states at the Fermi level = 0.410 states/eV/atom
1.0
-0.9304 -1.2676 -2.9444
4.6925 -0.5050 -1.2654
-2.2422 -13.0797 6.3396
Th Tl Ag
2 2 6
Direct
0.5000 0.8240 0.6480
0.5000 0.1760 0.3520
0.0000 0.6238 0.2477
0.0000 0.3762 0.7523
0.0000 0.0537 0.1073
0.0000 0.9463 0.8927
0.0000 0.2731 0.5462
0.0000 0.7269 0.4538
0.5000 0.4547 0.9094
0.5000 0.5453 0.0906

Record 10
ThTlAg PBE-GGA optimized geometry; symmetry = C2/m; energy of formation = -0.113 eV per atom; density of states at the Fermi level = 0.808 states/eV/atom
1.0
-2.3190 1.9602 4.0117
-5.4098 2.5935 -1.2640
-2.5725 -4.1728 3.6823
Th Tl Ag
2 2 2
Direct
0.2256 0.8272 0.8272
0.7334 0.3178 0.3178
0.9796 0.3992 0.7456
0.9796 0.7456 0.3992
0.4792 0.9125 0.2330
0.4792 0.2330 0.9125

Record 11
ThTlAg2 PBE-GGA optimized geometry; symmetry = P4/mmm; energy of formation = 0.048 eV per atom; density of states at the Fermi level = 1.190 states/eV/atom
1.0
-2.6524 -0.7441 3.3383
0.4493 -4.7133 -0.6935
3.7546 -0.0785 2.9656
Tl Ag Th
1 2 1
Direct
0.5000 0.0000 0.0000
0.0000 0.0000 0.5000
0.0000 0.5000 0.0000
0.5000 0.5000 0.5000

Record 12
ThTlAg2 PBE-GGA optimized geometry; symmetry = Cmcm; energy of formation = -0.062 eV per atom; density of states at the Fermi level = 0.524 states/eV/atom
1.0
-0.7101 3.4642 -3.5156
-1.8384 -2.1948 -1.7915
-8.4344 4.5849 6.2214
Th Tl Ag
2 2 4
Direct
0.2500 0.9080 0.8160
0.7500 0.0920 0.1840
0.7500 0.3383 0.6765
0.2500 0.6617 0.3235
0.2500 0.2730 0.5459
0.7500 0.7270 0.4541
0.7500 0.4698 0.9397
0.2500 0.5302 0.0603